[1]
{
  "formula": "CrCuPb",
  "functional": "PBE",
  "state": "relaxed",
  "magmom_total_mub_per_atom": 1.331,
  "dft_energy_ev_per_atom": -5.308,
  "sg": "I4mm",
  "e_form_ev_per_atom": 0.50,
  "dos_ef_per_ev_atom": 0.440,
  "lattice": [[5.4059, 0.2366, -0.0302], [3.0608, 4.4623, 0.0302], [-4.2190, -2.3752, 2.4164]],
  "species": ["Cr", "Cu", "Pb"],
  "frac_coords": [[0.9773, 0.9773, 0.0000], [0.3531, 0.3531, 0.0000], [0.6697, 0.6697, 0.0000]]
}

=====

[2]
{
  "formula": "CrCuPb",
  "functional": "PBE",
  "state": "relaxed",
  "magmom_total_mub_per_atom": 1.288,
  "dft_energy_ev_per_atom": -5.266,
  "sg": "P3m1",
  "e_form_ev_per_atom": 0.54,
  "dos_ef_per_ev_atom": 0.732,
  "lattice": [[4.4874, 0.0000, 0.0000], [-2.2437, 3.8862, 0.0000], [0.0000, 0.0000, 3.2510]],
  "species": ["Cr", "Cu", "Pb"],
  "frac_coords": [[0.0000, 0.0000, 0.0235], [0.6667, 0.3333, 0.4021], [0.3333, 0.6667, 0.5744]]
}